The following is a PBE with a Hubbard U calculation of crystalline MnAs2BrF at its relaxed geometry, from Alexandria.

## Properties
* energy above the most stable polymorph in this dataset: 140.1 meV per atom
* total DFT energy (no corrections): -19.09 eV/cell
* volume: 117.7 Å³ per cell

Structure (extended XYZ):
```
5
Lattice="4.854 0.000 0.000 0.000 4.854 0.000 0.000 0.000 4.994" Properties=species:S:1:pos:R:3 pbc="T T T"
Mn 0.000 0.000 0.000
As 0.000 2.427 0.000
As 2.427 0.000 0.000
Br 0.000 0.000 2.497
F 2.427 2.427 2.497
```

---

The following is a PBE with a Hubbard U calculation of crystalline MnAs2BrF at its relaxed geometry, from Alexandria.

## Properties
* energy above the most stable polymorph in this dataset: 0.0 meV per atom
* total DFT energy (no corrections): -19.79 eV/cell
* volume: 108.0 Å³ per cell

Structure (extended XYZ):
```
5
Lattice="4.325 0.000 0.000 0.000 4.325 0.000 0.000 0.000 5.774" Properties=species:S:1:pos:R:3 pbc="T T T"
Mn 0.000 0.000 0.000
As 0.000 2.163 2.887
As 2.163 0.000 2.887
Br 2.163 2.163 0.000
F 2.163 2.163 2.887
```

---

The following is a PBE with a Hubbard U calculation of crystalline MnAsBr2F at its relaxed geometry, from Alexandria.

## Properties
* energy above the most stable polymorph in this dataset: 0.0 meV per atom
* total DFT energy (no corrections): -17.71 eV/cell
* volume: 122.0 Å³ per cell

Structure (extended XYZ):
```
5
Lattice="5.582 0.000 0.000 0.000 5.582 0.000 0.000 0.000 3.917" Properties=species:S:1:pos:R:3 pbc="T T T"
Mn 0.000 0.000 0.000
As 2.791 2.791 0.000
Br 0.000 2.791 1.958
Br 2.791 0.000 1.958
F 2.791 2.791 1.958
```

---

The following is a PBE with a Hubbard U calculation of crystalline MnAsBr2F at its relaxed geometry, from Alexandria.

## Properties
* energy above the most stable polymorph in this dataset: 56.7 meV per atom
* total DFT energy (no corrections): -17.43 eV/cell
* volume: 130.3 Å³ per cell

Structure (extended XYZ):
```
5
Lattice="4.999 0.000 0.000 0.000 4.999 0.000 0.000 0.000 5.212" Properties=species:S:1:pos:R:3 pbc="T T T"
Mn 0.000 0.000 0.000
As 0.000 0.000 2.606
Br 0.000 2.500 0.000
Br 2.500 0.000 0.000
F 2.500 2.500 2.606
```

---

The following is a PBE with a Hubbard U calculation of crystalline MoAsBr2F at its relaxed geometry, from Alexandria.

## Properties
* energy above the most stable polymorph in this dataset: 60.1 meV per atom
* total DFT energy (no corrections): -16.19 eV/cell
* volume: 123.8 Å³ per cell

Structure (extended XYZ):
```
5
Lattice="5.635 0.000 0.000 0.000 5.635 0.000 0.000 0.000 3.899" Properties=species:S:1:pos:R:3 pbc="T T T"
Mo 0.000 0.000 0.000
As 2.817 2.817 0.000
Br 0.000 2.817 1.950
Br 2.817 0.000 1.950
F 2.817 2.817 1.950
```

---

The following is a PBE with a Hubbard U calculation of crystalline MoAsBr2F at its relaxed geometry, from Alexandria.

## Properties
* energy above the most stable polymorph in this dataset: 0.0 meV per atom
* total DFT energy (no corrections): -16.49 eV/cell
* volume: 139.2 Å³ per cell

Structure (extended XYZ):
```
5
Lattice="5.185 0.000 0.000 0.000 5.185 0.000 0.000 0.000 5.177" Properties=species:S:1:pos:R:3 pbc="T T T"
Mo 0.000 0.000 0.000
As 0.000 0.000 2.589
Br 0.000 2.592 0.000
Br 2.592 0.000 0.000
F 2.592 2.592 2.589
```

---

Number 1: mass density 4.285 g/cm³. Number 2: mass density 4.668 g/cm³. Number 3: mass density 4.200 g/cm³. Number 4: mass density 3.935 g/cm³. Number 5: mass density 4.690 g/cm³. Number 6: mass density 4.172 g/cm³.